Entry 1:
DFT (PBE-GGA) results for crystalline Ba2TcPPb at its relaxed geometry.

Properties
**ΔE_f**: 0.32 eV per atom
**DOS at the Fermi energy**: 1.33 states/eV per atom
**DFT total energy**: -4.346 eV/atom

a b c (Å): 5.6506 5.6506 5.2521
angles (deg): 90.00 90.00 90.00
Space group P4/mmm (No. 123)
Asymmetric unit:
Ba: 0.0000 0.5000 0.0000 [2 per cell]
Tc: 0.0000 0.0000 0.0000 [1 per cell]
P: 0.5000 0.5000 0.5000 [1 per cell]
Pb: 0.0000 0.0000 0.5000 [1 per cell]

Entry 2:
DFT (PBE-GGA) results for crystalline RbInHg2P at its relaxed geometry.

Properties
**ΔE_f**: 0.74 eV per atom
**DOS at the Fermi energy**: 0.85 states/eV per atom
**DFT total energy**: -1.200 eV/atom

a b c (Å): 6.4037 6.4037 5.7399
angles (deg): 90.00 90.00 90.00
Space group P4/mmm (No. 123)
Asymmetric unit:
Rb: 0.0000 0.0000 0.0000 [1 per cell]
In: 0.5000 0.5000 0.5000 [1 per cell]
Hg: 0.0000 0.5000 0.0000 [2 per cell]
P: 0.0000 0.0000 0.5000 [1 per cell]

Entry 3:
DFT (PBE-GGA) results for crystalline Na2ZrGaAs at its relaxed geometry.

Properties
**ΔE_f**: 0.70 eV per atom
**DOS at the Fermi energy**: 0.86 states/eV per atom
**DFT total energy**: -3.070 eV/atom

a b c (Å): 5.2134 5.2134 4.9103
angles (deg): 90.00 90.00 90.00
Space group P4/mmm (No. 123)
Asymmetric unit:
Na: 0.0000 0.5000 0.0000 [2 per cell]
Zr: 0.0000 0.0000 0.5000 [1 per cell]
Ga: 0.5000 0.5000 0.0000 [1 per cell]
As: 0.5000 0.5000 0.5000 [1 per cell]